Entry 1:
VASP calculation (GGA-PBE) on crystalline ScPdRh2C at its relaxed geometry.

Values from the calculation:
The space group is P4/mmm (123). As for the total magnetization: 0.000 μB/atom. The value obtained for the formation energy is -1.84 eV/f.u. The mass density comes out at 8.49 Mg/m³. Its total DFT energy (no corrections) is -0.274 hartree per atom.

abc: 3.992 3.992 4.529
angles: 90.00 90.00 90.00
Sites, in units of the cell vectors:
Sc  0.000  0.000  0.000
Pd  0.500  0.500  0.000
Rh  0.000  0.500  0.500
Rh  0.500  0.000  0.500
C  0.000  0.000  0.500

=====

Entry 2:
VASP calculation (GGA-PBE) on crystalline Sc2PdRhC at its relaxed geometry.

Values from the calculation:
The space group is P4/mmm (123). As for the total magnetization: 0.000 μB/atom. The value obtained for the formation energy is -3.04 eV/f.u. The mass density comes out at 6.43 Mg/m³. Its total DFT energy (no corrections) is -0.275 hartree per atom.

abc: 4.559 4.559 3.869
angles: 90.00 90.00 90.00
Sites, in units of the cell vectors:
Sc  0.000  0.500  0.000
Sc  0.500  0.000  0.000
Pd  0.000  0.000  0.500
Rh  0.500  0.500  0.500
C  0.500  0.500  0.000

=====

Entry 3:
VASP calculation (GGA-PBE) on crystalline ScPdRh2C at its relaxed geometry.

Values from the calculation:
The space group is P4/mmm (123). As for the total magnetization: 0.000 μB/atom. The value obtained for the formation energy is -1.93 eV/f.u. The mass density comes out at 8.61 Mg/m³. Its total DFT energy (no corrections) is -0.275 hartree per atom.

abc: 4.073 4.073 4.294
angles: 90.00 90.00 90.00
Sites, in units of the cell vectors:
Sc  0.000  0.000  0.000
Pd  0.500  0.500  0.000
Rh  0.000  0.500  0.500
Rh  0.500  0.000  0.500
C  0.500  0.500  0.500

=====

Entry 4:
VASP calculation (GGA-PBE) on crystalline SrPdRh2C at its relaxed geometry.

Values from the calculation:
The space group is P4/mmm (123). As for the total magnetization: 0.000 μB/atom. The value obtained for the formation energy is -0.60 eV/f.u. The mass density comes out at 8.69 Mg/m³. Its total DFT energy (no corrections) is -0.231 hartree per atom.

abc: 4.189 4.189 4.486
angles: 90.00 90.00 90.00
Sites, in units of the cell vectors:
Sr  0.000  0.000  0.000
Pd  0.500  0.500  0.000
Rh  0.000  0.500  0.500
Rh  0.500  0.000  0.500
C  0.500  0.500  0.500

=====

Entry 5:
VASP calculation (GGA-PBE) on crystalline TePd2RhC at its relaxed geometry.

Values from the calculation:
The space group is P4/mmm (123). As for the total magnetization: 0.064 μB/atom. The uncorrected formation energy comes out at 1.9117 eV per atom. The mass density comes out at 6.40 Mg/m³. Its total DFT energy (no corrections) is -0.151 hartree per atom.

abc: 4.922 4.922 4.878
angles: 90.00 90.00 90.00
Sites, in units of the cell vectors:
Te  0.000  0.000  0.000
Pd  0.000  0.500  0.000
Pd  0.500  0.000  0.000
Rh  0.000  0.000  0.500
C  0.500  0.500  0.500

=====

Entry 6:
VASP calculation (GGA-PBE) on crystalline Th6PdRh2C3 at its relaxed geometry.

Values from the calculation:
The space group is C2/m (12). As for the total magnetization: 0.000 μB/atom. The value obtained for the formation energy is -5.62 eV/f.u. The mass density comes out at 11.07 Mg/m³. Its total DFT energy (no corrections) is -0.299 hartree per atom.

abc: 9.074 9.074 8.260
angles: 109.56 109.56 24.11
Sites, in units of the cell vectors:
Th  0.009  0.009  0.226
Th  0.324  0.324  0.434
Th  0.339  0.339  0.901
Th  0.661  0.661  0.099
Th  0.676  0.676  0.566
Th  0.991  0.991  0.774
Pd  0.500  0.500  0.500
Rh  0.164  0.164  0.827
Rh  0.836  0.836  0.173
C  0.166  0.166  0.333
C  0.500  0.500  0.000
C  0.834  0.834  0.667

=====

Entry 7:
VASP calculation (GGA-PBE) on crystalline YPdRh2C at its relaxed geometry.

Values from the calculation:
The space group is P4/mmm (123). As for the total magnetization: 0.000 μB/atom. The value obtained for the formation energy is -2.04 eV/f.u. The mass density comes out at 9.07 Mg/m³. Its total DFT energy (no corrections) is -0.277 hartree per atom.

abc: 4.141 4.141 4.413
angles: 90.00 90.00 90.00
Sites, in units of the cell vectors:
Y  0.000  0.000  0.000
Pd  0.500  0.500  0.000
Rh  0.000  0.500  0.500
Rh  0.500  0.000  0.500
C  0.500  0.500  0.500

=====

Entry 8:
VASP calculation (GGA-PBE) on crystalline YPdRh2C at its relaxed geometry.

Values from the calculation:
The space group is P4/mmm (123). As for the total magnetization: 0.000 μB/atom. The value obtained for the formation energy is -1.71 eV/f.u. The mass density comes out at 8.71 Mg/m³. Its total DFT energy (no corrections) is -0.274 hartree per atom.

abc: 4.026 4.026 4.856
angles: 90.00 90.00 90.00
Sites, in units of the cell vectors:
Y  0.000  0.000  0.000
Pd  0.500  0.500  0.000
Rh  0.000  0.500  0.500
Rh  0.500  0.000  0.500
C  0.000  0.000  0.500

=====

Entry 9:
VASP calculation (GGA-PBE) on crystalline PdRuC2 at its relaxed geometry.

Values from the calculation:
The space group is I-42d (122). As for the total magnetization: 0.000 μB/atom. The value obtained for the formation energy is 2.99 eV/f.u. The mass density comes out at 7.65 Mg/m³. Its total DFT energy (no corrections) is -0.275 hartree per atom.

abc: 5.694 5.694 5.694
angles: 131.80 131.80 70.54
Sites, in units of the cell vectors:
Pd  0.000  0.000  0.000
Pd  0.750  0.250  0.500
Ru  0.250  0.750  0.500
Ru  0.500  0.500  0.000
C  0.152  0.625  0.027
C  0.375  0.402  0.527
C  0.598  0.125  0.973
C  0.875  0.848  0.473

=====

Entry 10:
VASP calculation (GGA-PBE) on crystalline Pd2RuC at its relaxed geometry.

Values from the calculation:
The space group is I-42d (122). As for the total magnetization: 0.294 μB/atom. The value obtained for the formation energy is 2.94 eV/f.u. The mass density comes out at 9.53 Mg/m³. Its total DFT energy (no corrections) is -0.238 hartree per atom.

abc: 5.612 5.612 5.612
angles: 98.02 98.02 136.14
Sites, in units of the cell vectors:
Pd  0.003  0.125  0.378
Pd  0.375  0.997  0.122
Pd  0.747  0.625  0.622
Pd  0.875  0.253  0.878
Ru  0.250  0.750  0.500
Ru  0.500  0.500  0.000
C  0.000  0.000  0.000
C  0.750  0.250  0.500

=====

Entry 11:
VASP calculation (GGA-PBE) on crystalline PdRuC2 at its relaxed geometry.

Values from the calculation:
The space group is Fm-3m (225). As for the total magnetization: 0.000 μB/atom. The value obtained for the formation energy is 6.55 eV/f.u. The mass density comes out at 9.51 Mg/m³. Its total DFT energy (no corrections) is -0.242 hartree per atom.

abc: 3.852 3.852 3.852
angles: 60.00 60.00 60.00
Sites, in units of the cell vectors:
Pd  0.000  0.000  0.000
Ru  0.500  0.500  0.500
C  0.250  0.250  0.250
C  0.750  0.750  0.750

=====

Entry 12:
VASP calculation (GGA-PBE) on crystalline ScPdRu2C at its relaxed geometry.

Values from the calculation:
The space group is P4/mmm (123). As for the total magnetization: 0.011 μB/atom. The value obtained for the formation energy is -1.18 eV/f.u. The mass density comes out at 8.69 Mg/m³. Its total DFT energy (no corrections) is -0.298 hartree per atom.

abc: 4.101 4.101 4.154
angles: 90.00 90.00 90.00
Sites, in units of the cell vectors:
Sc  0.000  0.000  0.000
Pd  0.500  0.500  0.000
Ru  0.000  0.500  0.500
Ru  0.500  0.000  0.500
C  0.500  0.500  0.500